#w
5
Lattice="4.8002 0.0000 0.0000 0.0000 4.8002 0.0000 0.0000 0.0000 4.5972" Properties=species:S:1:pos:R:3 comment="TcSbCI2 | Alexandria | PBE | optimized geometry" total_magnetization_mub_per_fu=0.00 crystal_system=tetragonal sg="P4/mmm, No. 123" mass_density_g_cm3=7.612 pbc="T T T"
I 0.0000 2.4001 0.0000
I 2.4001 0.0000 0.0000
Sb 0.0000 0.0000 2.2986
C 0.0000 0.0000 0.0000
Tc 2.4001 2.4001 2.2986

#x
5
Lattice="5.5159 0.0000 0.0000 0.0000 5.5159 0.0000 0.0000 0.0000 5.1407" Properties=species:S:1:pos:R:3 comment="TcSbCI2 | Alexandria | PBE | optimized geometry" total_magnetization_mub_per_fu=3.43 crystal_system=tetragonal sg="P4/mmm, No. 123" mass_density_g_cm3=5.155 pbc="T T T"
I 0.0000 2.7580 0.0000
I 2.7580 0.0000 0.0000
Sb 0.0000 0.0000 2.5703
C 2.7580 2.7580 2.5703
Tc 0.0000 0.0000 0.0000

Order from most stable to least stable according to the calculation: #w, #x

#w
5
Lattice="-2.6043 -4.5950 2.4365 3.3781 0.5775 4.6998 -4.0838 3.6342 2.4887" Properties=species:S:1:pos:R:3 comment="SbTe2CI | Alexandria | PBE | optimized geometry" total_magnetization_mub_per_fu=0.45 crystal_system=tetragonal sg="P4/mmm, No. 123" mass_density_g_cm3=4.215 pbc="T T T"
I 0.0000 0.0000 0.0000
Sb -2.0419 1.8171 1.2444
C -1.6550 -0.1916 4.8125
Te 1.6890 0.2888 2.3499
Te -1.3022 -2.2975 1.2183

#x
5
Lattice="-3.3819 -2.6947 3.9086 4.2826 0.3394 3.9395 -2.0794 5.2345 1.8095" Properties=species:S:1:pos:R:3 comment="SbTe2CI | Alexandria | PBE | optimized geometry" total_magnetization_mub_per_fu=0.75 crystal_system=tetragonal sg="P4/mmm, No. 123" mass_density_g_cm3=4.262 pbc="T T T"
I -1.0397 2.6172 0.9048
Sb 0.0000 0.0000 0.0000
C -0.5893 1.4396 4.8288
Te 2.1413 0.1697 1.9698
Te -1.6910 -1.3473 1.9543

#y
5
Lattice="-4.6734 -0.5862 -1.2791 1.1671 -4.0931 -2.3884 -0.8150 -2.6888 4.2097" Properties=species:S:1:pos:R:3 comment="SbTe2CI | Alexandria | PBE | optimized geometry" total_magnetization_mub_per_fu=0.00 crystal_system=tetragonal sg="P4/mmm, No. 123" mass_density_g_cm3=7.106 pbc="T T T"
I -0.4075 -1.3444 2.1048
Sb -2.1606 -3.6840 0.2711
C 0.0000 0.0000 0.0000
Te 0.5836 -2.0466 -1.1942
Te -2.3367 -0.2931 -0.6396

#z
5
Lattice="4.8351 0.0000 0.0000 0.0000 4.8351 0.0000 0.0000 0.0000 5.3048" Properties=species:S:1:pos:R:3 comment="SbTe2CI | Alexandria | PBE | optimized geometry" total_magnetization_mub_per_fu=0.00 crystal_system=tetragonal sg="P4/mmm, No. 123" mass_density_g_cm3=6.908 pbc="T T T"
I 2.4175 2.4175 2.6524
Sb 0.0000 0.0000 2.6524
C 0.0000 0.0000 0.0000
Te 0.0000 2.4175 0.0000
Te 2.4175 0.0000 0.0000

Order from most stable to least stable according to the calculation: #y, #z, #x, #w

#w
5
Lattice="-2.7661 3.2913 -2.4598 0.3304 -2.7775 -4.0879 -4.0966 -2.4476 1.3319" Properties=species:S:1:pos:R:3 comment="Sb2TeCI | Alexandria | PBE | optimized geometry" total_magnetization_mub_per_fu=0.00 crystal_system=tetragonal sg="P4/mmm, No. 123" mass_density_g_cm3=6.967 pbc="T T T"
I -2.0483 -1.2238 0.6659
Sb 0.1652 -1.3888 -2.0439
Sb -1.3831 1.6456 -1.2299
C 0.0000 0.0000 0.0000
Te -3.2662 -0.9669 -2.6079

#x
5
Lattice="5.1359 0.0000 0.0000 0.0000 5.1359 0.0000 0.0000 0.0000 4.6748" Properties=species:S:1:pos:R:3 comment="Sb2TeCI | Alexandria | PBE | optimized geometry" total_magnetization_mub_per_fu=0.00 crystal_system=tetragonal sg="P4/mmm, No. 123" mass_density_g_cm3=6.868 pbc="T T T"
I 2.5679 2.5679 2.3374
Sb 0.0000 2.5679 0.0000
Sb 2.5679 0.0000 0.0000
C 0.0000 0.0000 0.0000
Te 0.0000 0.0000 2.3374

Order from most stable to least stable according to the calculation: #x, #w